Record 1
LiThZn | PBE | optimized geometry

Unit cell a=3.289 b=3.289 c=6.522 alpha=104.61 beta=104.61 gamma=90.00
Fractional positions:
1 Zn 0.261 0.261 0.523
2 Th 0.940 0.940 0.880
3 Li 0.649 0.649 0.298

Size of the total moment: 0.0 μB per formula unit
Energy above the lowest structure with this stoichiometry: 91 meV/atom
Density: 7.67 g/cm³
Formation energy from the elements: 14 meV/atom

---

Record 2
Li3ThZn9 | PBE | optimized geometry

Unit cell a=4.926 b=6.940 c=6.939 alpha=82.64 beta=69.21 gamma=68.85
Fractional positions:
1 Li 0.500 0.500 0.000
2 Li 0.000 0.000 0.500
3 Li 0.500 0.000 0.500
4 Th 0.000 0.000 0.000
5 Zn 0.725 0.779 0.774
6 Zn 0.275 0.221 0.226
7 Zn 0.500 0.221 0.774
8 Zn 0.500 0.779 0.226
9 Zn 0.636 0.353 0.355
10 Zn 0.364 0.647 0.645
11 Zn 0.008 0.647 0.355
12 Zn 0.992 0.353 0.645
13 Zn 0.000 0.500 0.000

Size of the total moment: 0.0 μB per formula unit
Density: 6.76 g/cm³
Formation energy from the elements: -183 meV/atom